1.
VASP calculation (PBE) on La3Pr6Sm2In after structural relaxation.

Output
**Energy of formation from the pure elements**: -0.044 eV per atom
**Crystal system**: monoclinic

Unit cell a=6.3359 b=6.3359 c=12.1064 alpha=95.13 beta=95.13 gamma=120.21
Element x y z (fractional)
Sm: 0.3340 0.6660 0.0000
Sm: 0.6660 0.3340 0.0000
Pr: 0.7564 0.7564 0.2455
Pr: 0.4044 0.0799 0.2430
Pr: 0.5956 0.9201 0.7570
Pr: 0.0799 0.4044 0.2430
Pr: 0.9201 0.5956 0.7570
Pr: 0.2436 0.2436 0.7545
In: 0.0000 0.0000 0.0000
La: 0.5000 0.5000 0.5000
La: 0.8283 0.1717 0.5000
La: 0.1717 0.8283 0.5000



2.
VASP calculation (PBE) on La2Pr3Sm6In after structural relaxation.

Output
**Energy of formation from the pure elements**: -0.062 eV per atom
**Crystal system**: monoclinic

Unit cell a=6.2663 b=6.2663 c=12.0397 alpha=95.02 beta=95.02 gamma=120.03
Element x y z (fractional)
Sm: 0.9182 0.5936 0.7534
Sm: 0.4064 0.0818 0.2466
Sm: 0.2422 0.2422 0.7521
Sm: 0.5936 0.9182 0.7534
Sm: 0.0818 0.4064 0.2466
Sm: 0.7578 0.7578 0.2479
Pr: 0.5000 0.5000 0.5000
Pr: 0.1686 0.8314 0.5000
Pr: 0.8314 0.1686 0.5000
La: 0.3338 0.6662 0.0000
La: 0.6662 0.3338 0.0000
In: 0.0000 0.0000 0.0000



3.
VASP calculation (PBE) on La3Pr3In2Sn after structural relaxation.

Output
**Energy of formation from the pure elements**: -0.407 eV per atom
**Crystal system**: hexagonal

Unit cell a=4.4555 b=8.8063 c=8.8063 alpha=120.00 beta=90.00 gamma=90.00
Element x y z (fractional)
In: 0.5000 0.6667 0.3333
In: 0.5000 0.3333 0.6667
Pr: 0.0000 0.0000 0.3989
Pr: 0.0000 0.3989 0.0000
Pr: 0.0000 0.6011 0.6011
La: 0.5000 0.0000 0.7261
La: 0.5000 0.7261 0.0000
La: 0.5000 0.2739 0.2739
Sn: 0.0000 0.0000 0.0000



4.
VASP calculation (PBE) on SrLaPrIn after structural relaxation.

Output
**Energy of formation from the pure elements**: -0.110 eV per atom
**Crystal system**: cubic

Unit cell a=5.7878 b=5.7878 c=5.7878 alpha=60.00 beta=60.00 gamma=60.00
Element x y z (fractional)
Pr: 0.2500 0.2500 0.2500
Sr: 0.5000 0.5000 0.5000
La: 0.7500 0.7500 0.7500
In: 0.0000 0.0000 0.0000



5.
VASP calculation (PBE) on LaTbPrIn after structural relaxation.

Output
**Energy of formation from the pure elements**: -0.115 eV per atom
**Crystal system**: cubic
**Energy relative to the lowest polymorph listed for this composition**: 44 meV/atom

Unit cell a=5.5809 b=5.5809 c=5.5833 alpha=119.99 beta=119.99 gamma=90.00
Element x y z (fractional)
In: 0.2500 0.7500 0.5000
Pr: 0.0000 0.0000 0.0000
La: 0.7500 0.2500 0.5000
Tb: 0.5000 0.5000 0.0000



6.
VASP calculation (PBE) on LaTbPrIn after structural relaxation.

Output
**Energy of formation from the pure elements**: -0.160 eV per atom
**Crystal system**: cubic
**Energy relative to the lowest polymorph listed for this composition**: 0 meV/atom

Unit cell a=5.6297 b=5.6297 c=5.6297 alpha=60.00 beta=60.00 gamma=60.00
Site moments in Bohr magnetons follow the coordinates.
Element x y z (fractional)
In: 0.5000 0.5000 0.5000  0.00
Pr: 0.7500 0.7500 0.7500  0.06
Tb: 0.0000 0.0000 0.0000  0.10
La: 0.2500 0.2500 0.2500  0.05



7.
VASP calculation (PBE) on LaTb2PrIn4 after structural relaxation.

Output
**Energy of formation from the pure elements**: -0.486 eV per atom
**Crystal system**: trigonal

Unit cell a=5.4466 b=5.4466 c=9.4507 alpha=73.25 beta=73.25 gamma=60.00
Element x y z (fractional)
Tb: 0.7500 0.7500 0.7501
Tb: 0.2500 0.2500 0.2499
In: 0.6245 0.6245 0.1266
In: 0.1256 0.1256 0.6232
In: 0.8744 0.8744 0.3768
In: 0.3755 0.3755 0.8734
La: 0.0000 0.0000 0.0000
Pr: 0.5000 0.5000 0.5000



8.
VASP calculation (PBE) on La2TbPrIn2 after structural relaxation.

Output
**Energy of formation from the pure elements**: -0.356 eV per atom
**Crystal system**: orthorhombic

Unit cell a=5.2678 b=6.9156 c=10.3667 alpha=90.00 beta=90.00 gamma=90.00
Element x y z (fractional)
In: 0.0000 0.2955 0.8539
In: 0.5000 0.7207 0.6213
In: 0.5000 0.2207 0.3787
In: 0.0000 0.7955 0.1461
La: 0.0000 0.8119 0.8219
La: 0.5000 0.5800 0.9431
La: 0.5000 0.0800 0.0569
La: 0.0000 0.3119 0.1781
Tb: 0.5000 0.1814 0.6907
Tb: 0.5000 0.6814 0.3093
Pr: 0.0000 0.9560 0.4580
Pr: 0.0000 0.4560 0.5420



9.
VASP calculation (PBE) on LaTbPr2In4 after structural relaxation.

Output
**Energy of formation from the pure elements**: -0.486 eV per atom
**Crystal system**: trigonal

Unit cell a=5.4877 b=5.4877 c=9.5364 alpha=73.28 beta=73.28 gamma=60.00
Element x y z (fractional)
Pr: 0.7506 0.7506 0.7483
Pr: 0.2494 0.2494 0.2517
In: 0.8733 0.8733 0.3802
In: 0.1267 0.1267 0.6198
In: 0.6230 0.6230 0.1309
In: 0.3770 0.3770 0.8691
La: 0.0000 0.0000 0.0000
Tb: 0.5000 0.5000 0.5000



10.
VASP calculation (PBE) on La2Tb3Pr6In after structural relaxation.

Output
**Energy of formation from the pure elements**: -0.061 eV per atom
**Crystal system**: monoclinic

Unit cell a=6.2793 b=6.2793 c=12.0640 alpha=95.01 beta=95.01 gamma=120.08
Element x y z (fractional)
Pr: 0.9167 0.5925 0.7486
Pr: 0.2407 0.2407 0.7477
Pr: 0.4075 0.0833 0.2514
Pr: 0.5925 0.9167 0.7486
Pr: 0.0833 0.4075 0.2514
Pr: 0.7593 0.7593 0.2523
La: 0.6662 0.3338 0.0000
La: 0.3338 0.6662 0.0000
Tb: 0.1675 0.8325 0.5000
Tb: 0.5000 0.5000 0.5000
Tb: 0.8325 0.1675 0.5000
In: 0.0000 0.0000 0.0000



11.
VASP calculation (PBE) on La2PrIn3Te6 after structural relaxation.

Output
**Crystal system**: monoclinic
**Energy relative to the elements, uncorrected**: -1043 meV per atom

Unit cell a=7.9688 b=7.9688 c=8.5272 alpha=98.97 beta=98.97 gamma=119.99
Element x y z (fractional)
In: 0.8334 0.1666 0.5000
In: 0.1666 0.8334 0.5000
In: 0.5000 0.5000 0.5000
Te: 0.9242 0.5930 0.7725
Te: 0.7449 0.7449 0.2282
Te: 0.2551 0.2551 0.7718
Te: 0.4070 0.0758 0.2275
Te: 0.0758 0.4070 0.2275
Te: 0.5930 0.9242 0.7725
Pr: 0.0000 0.0000 0.0000
La: 0.6667 0.3333 0.0000
La: 0.3333 0.6667 0.0000



12.
VASP calculation (PBE) on LaPrIn2Te4 after structural relaxation.

Output
**Crystal system**: monoclinic
**Energy relative to the elements, uncorrected**: -1031 meV per atom

Unit cell a=4.5907 b=8.5275 c=7.9472 alpha=71.91 beta=90.00 gamma=90.00
Element x y z (fractional)
La: 0.0000 0.5000 0.5000
In: 0.5000 0.0000 0.5000
In: 0.0000 0.0000 0.0000
Te: 0.0000 0.2724 0.2405
Te: 0.5000 0.7280 0.2551
Te: 0.5000 0.2720 0.7449
Te: 0.0000 0.7276 0.7595
Pr: 0.5000 0.5000 0.0000



no.,volume (Å³/cell)
1,413.2
2,403.0
3,299.2
4,137.1
5,123.0
6,126.2
7,229.0
8,377.7
9,234.6
10,405.3
11,445.6
12,295.7